Here is a geometry-optimized RuRhSe2 structure from Alexandria. Energies are from PBE-GGA.

As for the final energy: -5.66 eV per atom. As for the space-group type: R-3m (166). For the energy relative to the elements, uncorrected, the calculation gives 92 kJ/mol of formula units.

a = 8.121 Å, b = 8.121 Å, c = 8.121 Å
α = 23.56°, β = 23.56°, γ = 23.56°
Positions (direct):
Ru 0.000 0.000 0.000
Rh 0.500 0.500 0.500
Se 0.901 0.901 0.901
Se 0.099 0.099 0.099